Entry one
This record from the Alexandria database describes a geometry-optimized In2BiPd2 structure. The functional is PBE-GGA.

Cell lengths 8.0824, 8.0824, 3.1988 Å; angles 90.00, 90.00, 90.00 degrees
With the nearest neighbours (Å) after each atom.
Positions (direct):
In 0.1485 0.3515 0.0000  6 Pd 2.84-2.87
In 0.3515 0.8515 0.0000  6 Pd 2.84-2.87
In 0.6485 0.1485 0.0000  6 Pd 2.84-2.87
In 0.8515 0.6485 0.0000  6 Pd 2.84-2.87
Bi 0.0000 0.0000 0.5000  4 Pd 3.09, 2 Bi 3.20
Bi 0.5000 0.5000 0.5000  4 Pd 3.09, 2 Bi 3.20
Pd 0.1463 0.6463 0.5000  6 In 2.84-2.87, 2 Bi 3.09
Pd 0.3537 0.1463 0.5000  6 In 2.84-2.87, 2 Bi 3.09
Pd 0.6463 0.8537 0.5000  6 In 2.84-2.87, 2 Bi 3.09
Pd 0.8537 0.3537 0.5000  6 In 2.84-2.87, 2 Bi 3.09

=====

Entry two
This record from the Alexandria database describes a geometry-optimized In2BiPd2 structure. The functional is PBE-GGA.

Cell lengths 7.0594, 7.0594, 7.0594 Å; angles 145.89, 145.89, 49.01 degrees
With the nearest neighbours (Å) after each atom.
Positions (direct):
In 0.2500 0.7500 0.5000  4 Pd 2.77, 4 In 2.93
In 0.7500 0.2500 0.5000  4 Pd 2.77, 4 In 2.93
Bi 0.0000 0.0000 0.0000  8 Pd 3.24
Pd 0.3928 0.3928 0.0000  1 Pd 2.75, 4 In 2.77
Pd 0.6072 0.6072 0.0000  1 Pd 2.75, 4 In 2.77

=====

Most stable: entry one

=====

Entry one
This record from the Alexandria database describes a geometry-optimized InBi3Pd structure. The functional is PBE-GGA.

Cell lengths 7.2098, 7.2098, 7.1098 Å; angles 118.59, 118.59, 78.84 degrees
With the nearest neighbours (Å) after each atom.
Positions (direct):
In 0.0578 0.0578 0.2596  2 Pd 2.76-2.84, 1 In 3.07
In 0.9422 0.9422 0.7404  2 Pd 2.76-2.84, 1 In 3.07
Bi 0.0050 0.4002 0.7369  2 Pd 2.88-3.06
Bi 0.4002 0.0050 0.7369  2 Pd 2.88-3.06
Bi 0.4328 0.4328 0.6741  2 Pd 2.88-3.09
Bi 0.5672 0.5672 0.3259  2 Pd 2.88-3.09
Bi 0.5998 0.9950 0.2631  2 Pd 2.88-3.06
Bi 0.9950 0.5998 0.2631  2 Pd 2.88-3.06
Pd 0.2496 0.2496 0.1240  2 In 2.76-2.84, 5 Bi 2.88-3.06
Pd 0.7504 0.7504 0.8760  2 In 2.76-2.84, 5 Bi 2.88-3.06

=====

Entry two
This record from the Alexandria database describes a geometry-optimized InBi3Pd structure. The functional is PBE-GGA.

Cell lengths 5.4507, 5.4507, 5.4507 Å; angles 90.00, 90.00, 90.00 degrees
With the nearest neighbours (Å) after each atom.
Positions (direct):
In 0.0000 0.0000 0.0000  12 Bi 3.85
Bi 0.0000 0.5000 0.5000  2 Pd 2.73
Bi 0.5000 0.0000 0.5000  2 Pd 2.73
Bi 0.5000 0.5000 0.0000  2 Pd 2.73
Pd 0.5000 0.5000 0.5000  6 Bi 2.73

=====

Most stable: entry one

=====

Entry one
This record from the Alexandria database describes a geometry-optimized InBiPd3 structure. The functional is PBE-GGA.

Cell lengths 7.6494, 7.4465, 6.9774 Å; angles 90.00, 90.00, 90.00 degrees
With the nearest neighbours (Å) after each atom.
Positions (direct):
In 0.0000 0.0000 0.0000  6 Pd 2.76-2.80
In 0.0000 0.5000 0.0000  6 Pd 2.76-2.80
In 0.5000 0.0000 0.5000  6 Pd 2.76-2.80
In 0.5000 0.5000 0.5000  6 Pd 2.76-2.80
Bi 0.1369 0.2500 0.4173  7 Pd 2.76-2.91
Bi 0.3631 0.7500 0.9173  7 Pd 2.76-2.91
Bi 0.6369 0.2500 0.0827  7 Pd 2.76-2.91
Bi 0.8631 0.7500 0.5827  7 Pd 2.76-2.91
Pd 0.1143 0.7500 0.2696  2 In 2.79, 2 Bi 2.91-3.11, 4 Pd 2.91-3.08
Pd 0.1642 0.5475 0.6507  3 Bi 2.76-2.84, 2 In 2.76-2.80, 3 Pd 2.91-3.08
Pd 0.1642 0.9525 0.6507  3 Bi 2.76-2.84, 2 In 2.76-2.80, 3 Pd 2.91-3.08
Pd 0.3358 0.0475 0.1507  3 Bi 2.76-2.84, 2 In 2.76-2.80, 3 Pd 2.91-3.08
Pd 0.3358 0.4525 0.1507  3 Bi 2.76-2.84, 2 In 2.76-2.80, 3 Pd 2.91-3.08
Pd 0.3857 0.2500 0.7696  2 In 2.79, 2 Bi 2.91-3.11, 4 Pd 2.91-3.08
Pd 0.6143 0.7500 0.2304  2 In 2.79, 2 Bi 2.91-3.11, 4 Pd 2.91-3.08
Pd 0.6642 0.5475 0.8493  3 Bi 2.76-2.84, 2 In 2.76-2.80, 3 Pd 2.91-3.08
Pd 0.6642 0.9525 0.8493  3 Bi 2.76-2.84, 2 In 2.76-2.80, 3 Pd 2.91-3.08
Pd 0.8358 0.0475 0.3493  3 Bi 2.76-2.84, 2 In 2.76-2.80, 3 Pd 2.91-3.08
Pd 0.8358 0.4525 0.3493  3 Bi 2.76-2.84, 2 In 2.76-2.80, 3 Pd 2.91-3.08
Pd 0.8857 0.2500 0.7304  2 In 2.79, 2 Bi 2.91-3.11, 4 Pd 2.91-3.08

=====

Entry two
This record from the Alexandria database describes a geometry-optimized InBiPd3 structure. The functional is PBE-GGA.

Cell lengths 4.9450, 4.9450, 4.9450 Å; angles 90.00, 90.00, 90.00 degrees
With the nearest neighbours (Å) after each atom.
Positions (direct):
In 0.0000 0.0000 0.0000  6 Pd 2.47
Bi 0.5000 0.5000 0.5000  12 Pd 3.50
Pd 0.0000 0.0000 0.5000  2 In 2.47
Pd 0.0000 0.5000 0.0000  2 In 2.47
Pd 0.5000 0.0000 0.0000  2 In 2.47

=====

Most stable: entry one

=====

Entry one
This record from the Alexandria database describes a geometry-optimized In2BiPd8 structure. The functional is PBE-GGA.

Cell lengths 7.5938, 7.5938, 7.5938 Å; angles 148.40, 119.85, 69.55 degrees
With the nearest neighbours (Å) after each atom.
Positions (direct):
In 0.1695 0.1695 0.0000  10 Pd 2.73-2.91
In 0.8305 0.8305 0.0000  10 Pd 2.73-2.91
Bi 0.5000 0.5000 0.0000  12 Pd 2.85-2.93
Pd 0.0773 0.3344 0.7429  3 In 2.77-2.84, 7 Pd 2.80-2.95, 1 Bi 2.85
Pd 0.2263 0.0000 0.2263  2 In 2.73, 6 Pd 2.93-2.94, 2 Bi 2.93
Pd 0.3341 0.8341 0.5000  8 Pd 2.80-2.94, 2 In 2.91, 2 Bi 2.93
Pd 0.4085 0.6656 0.7429  3 In 2.77-2.84, 7 Pd 2.80-2.95, 1 Bi 2.85
Pd 0.5915 0.3344 0.2571  3 In 2.77-2.84, 7 Pd 2.80-2.95, 1 Bi 2.85
Pd 0.6659 0.1659 0.5000  8 Pd 2.80-2.94, 2 In 2.91, 2 Bi 2.93
Pd 0.7737 0.0000 0.7737  2 In 2.73, 6 Pd 2.93-2.94, 2 Bi 2.93
Pd 0.9227 0.6656 0.2571  3 In 2.77-2.84, 7 Pd 2.80-2.95, 1 Bi 2.85

=====

Entry two
This record from the Alexandria database describes a geometry-optimized In2BiPd8 structure. The functional is PBE-GGA.

Cell lengths 7.5820, 7.5820, 6.4143 Å; angles 104.86, 104.86, 32.10 degrees
With the nearest neighbours (Å) after each atom.
Positions (direct):
In 0.2160 0.2160 0.1584  9 Pd 2.73-2.83
In 0.7840 0.7840 0.8416  9 Pd 2.73-2.83
Bi 0.5000 0.5000 0.5000  12 Pd 2.77-3.09
Pd 0.0380 0.0380 0.2274  1 In 2.75, 8 Pd 2.83-2.95, 2 Bi 2.88
Pd 0.1517 0.1517 0.7116  3 In 2.77-2.82, 6 Pd 2.83-2.91, 2 Bi 3.09
Pd 0.3222 0.3222 0.5797  3 In 2.73-2.83, 1 Bi 2.77, 8 Pd 2.83-2.95
Pd 0.4062 0.4062 0.0362  3 In 2.82-3.07, 8 Pd 2.86-2.94, 1 Bi 2.92
Pd 0.5938 0.5938 0.9638  3 In 2.82-3.07, 8 Pd 2.86-2.94, 1 Bi 2.92
Pd 0.6778 0.6778 0.4203  3 In 2.73-2.83, 1 Bi 2.77, 8 Pd 2.83-2.95
Pd 0.8483 0.8483 0.2884  3 In 2.77-2.82, 6 Pd 2.83-2.91, 2 Bi 3.09
Pd 0.9620 0.9620 0.7726  1 In 2.75, 8 Pd 2.83-2.95, 2 Bi 2.88

=====

Most stable: entry two

=====

Entry one
This record from the Alexandria database describes a geometry-optimized Pm2InBi4 structure. The functional is PBE-GGA.

Cell lengths 4.5712, 4.5712, 10.8670 Å; angles 90.00, 90.00, 90.00 degrees
With the nearest neighbours (Å) after each atom.
Positions (direct):
Pm 0.0000 0.5000 0.2328  8 Bi 3.35-3.41, 2 In 3.70
Pm 0.5000 0.0000 0.7672  8 Bi 3.35-3.41, 2 In 3.70
In 0.0000 0.0000 0.5000  4 Bi 3.06
Bi 0.0000 0.0000 0.0000  4 Bi 3.23, 4 Pm 3.41
Bi 0.0000 0.5000 0.6868  2 In 3.06, 4 Pm 3.35
Bi 0.5000 0.0000 0.3132  2 In 3.06, 4 Pm 3.35
Bi 0.5000 0.5000 0.0000  4 Bi 3.23, 4 Pm 3.41

=====

Entry two
This record from the Alexandria database describes a geometry-optimized Pm2InBi4 structure. The functional is PBE-GGA.

Cell lengths 6.7520, 6.7520, 6.7520 Å; angles 116.54, 116.54, 96.10 degrees
With the nearest neighbours (Å) after each atom.
Positions (direct):
Pm 0.0000 0.5000 0.5000  8 Bi 3.38, 2 In 3.55
Pm 0.5000 0.0000 0.5000  8 Bi 3.38, 2 In 3.55
In 0.0000 0.0000 0.0000  8 Bi 3.38, 4 Pm 3.55
Bi 0.0000 0.0000 0.5000  4 Pm 3.38, 2 In 3.38, 4 Bi 3.55
Bi 0.0000 0.5000 0.0000  4 Pm 3.38, 2 In 3.38, 4 Bi 3.55
Bi 0.5000 0.0000 0.0000  4 Pm 3.38, 2 In 3.38, 4 Bi 3.55
Bi 0.5000 0.5000 0.5000  4 Pm 3.38, 2 In 3.38, 4 Bi 3.55

=====

Most stable: entry one

=====

Entry one
This record from the Alexandria database describes a geometry-optimized Pr2InBi4 structure. The functional is PBE-GGA.

Cell lengths 6.8260, 6.8260, 6.8029 Å; angles 117.22, 117.22, 94.84 degrees
With the nearest neighbours (Å) after each atom.
Positions (direct):
Pr 0.0000 0.5000 0.0000  8 Bi 3.40-3.42, 2 In 3.55
Pr 0.5000 0.0000 0.0000  8 Bi 3.40-3.42, 2 In 3.55
In 0.0000 0.0000 0.5000  8 Bi 3.40-3.42, 4 Pr 3.55
Bi 0.0000 0.0000 0.0000  2 In 3.40, 4 Pr 3.41, 4 Bi 3.55
Bi 0.0000 0.5000 0.5000  4 Pr 3.40-3.42, 2 In 3.41, 4 Bi 3.55
Bi 0.5000 0.0000 0.5000  4 Pr 3.40-3.42, 2 In 3.41, 4 Bi 3.55
Bi 0.5000 0.5000 0.0000  4 Pr 3.41, 2 In 3.42, 4 Bi 3.55

=====

Entry two
This record from the Alexandria database describes a geometry-optimized Pr2InBi4 structure. The functional is PBE-GGA.

Cell lengths 4.6027, 4.6027, 10.9484 Å; angles 90.00, 90.00, 90.00 degrees
With the nearest neighbours (Å) after each atom.
Positions (direct):
Pr 0.0000 0.5000 0.2339  8 Bi 3.38-3.44, 2 In 3.71
Pr 0.5000 0.0000 0.7661  8 Bi 3.38-3.44, 2 In 3.71
In 0.0000 0.0000 0.5000  4 Bi 3.06
Bi 0.0000 0.0000 0.0000  4 Bi 3.25, 4 Pr 3.44
Bi 0.0000 0.5000 0.6839  2 In 3.06, 4 Pr 3.38
Bi 0.5000 0.0000 0.3161  2 In 3.06, 4 Pr 3.38
Bi 0.5000 0.5000 0.0000  4 Bi 3.25, 4 Pr 3.44

=====

Most stable: entry two